(1)
# BaLa2Br8 (GGA-PBEsol, optimized geometry)
# Space-group type ... I-4 (82)
# Formation energy (no corrections) ... -21.613 eV per formula unit
# Raw total energy ... -98.83 eV for the cell shown
# Magnetization ... 0.00 μB per formula unit
data_BaLa2Br8
_chemical_formula_sum 'Ba2 La4 Br16'
_cell_length_a 8.367
_cell_length_b 10.320
_cell_length_c 10.320
_cell_angle_alpha 80.54
_cell_angle_beta 66.09
_cell_angle_gamma 66.09
_symmetry_space_group_name_H-M 'P 1'
_symmetry_Int_Tables_number 1
loop_
_symmetry_equiv_pos_as_xyz
'x,y,z'
loop_
_atom_site_label
_atom_site_type_symbol
_atom_site_fract_x
_atom_site_fract_y
_atom_site_fract_z
Br1 Br 0.933 0.719 0.778
Br2 Br 0.649 0.913 0.190
Br3 Br 0.685 0.460 0.307
Br4 Br 0.289 0.778 0.281
Br5 Br 0.848 0.074 0.401
Br6 Br 0.161 0.190 0.087
Br7 Br 0.078 0.599 0.074
Br8 Br 0.452 0.540 0.693
Br9 Br 0.438 0.810 0.913
Br10 Br 0.752 0.087 0.810
Br11 Br 0.323 0.926 0.599
Br12 Br 0.430 0.281 0.222
Br13 Br 0.751 0.401 0.926
Br14 Br 0.347 0.222 0.719
Br15 Br 0.855 0.693 0.460
Br16 Br 0.008 0.307 0.540
La1 La 0.419 0.353 0.923
La2 La 0.695 0.647 0.077
La3 La 0.658 0.923 0.647
La4 La 0.228 0.077 0.353
Ba1 Ba 0.250 0.500 0.500
Ba2 Ba 0.000 0.000 0.000

***

(2)
# TaCdNi2Sn (GGA-PBEsol, optimized geometry)
# Space-group type ... P4/mmm (123)
# Raw total energy ... -24.69 eV for the cell shown
# Magnetization ... 0.00 μB per formula unit
data_TaCdNi2Sn
_chemical_formula_sum 'Ta1 Cd1 Ni2 Sn1'
_cell_length_a 4.562
_cell_length_b 4.562
_cell_length_c 5.277
_cell_angle_alpha 90.00
_cell_angle_beta 90.00
_cell_angle_gamma 90.00
_symmetry_space_group_name_H-M 'P 1'
_symmetry_Int_Tables_number 1
loop_
_symmetry_equiv_pos_as_xyz
'x,y,z'
loop_
_atom_site_label
_atom_site_type_symbol
_atom_site_fract_x
_atom_site_fract_y
_atom_site_fract_z
Ni1 Ni 0.500 0.000 0.000
Ni2 Ni 0.000 0.500 0.000
Cd1 Cd 0.500 0.500 0.500
Sn1 Sn 0.000 0.000 0.500
Ta1 Ta 0.000 0.000 0.000

***

| no. | D(E_F) (states/eV/atom) |
| --- | --- |
| 1 | 0.0000 |
| 2 | 0.9440 |